1.
4
Lattice="3.554 0.000 0.000 -1.777 3.078 0.000 0.000 0.000 11.516" Properties=species:S:1:pos:R:3 comment="GGA-PBEsol CaSb, optimized geometry" final_energy_ev_per_atom=-3.427 sg=P-3m1 pbc="T T T"
Ca 0.000 2.052 1.680
Ca 1.777 1.026 9.836
Sb 0.000 2.052 7.372
Sb 1.777 1.026 4.144

---

2.
11
Lattice="3.269 -4.681 0.000 3.269 4.681 0.000 -0.934 0.000 5.042" Properties=species:S:1:pos:R:3 comment="GGA-PBEsol Ho2V2O7, optimized geometry" sg=C2/m polymorph_energy_ev_per_fu=0.18 pbc="T T T"
Ho 3.269 2.926 0.000
Ho 3.269 -2.926 0.000
V 1.104 0.000 3.026
V 4.499 0.000 2.016
O 0.246 0.000 1.406
O 1.043 1.514 3.992
O 1.043 -1.514 3.992
O 2.802 0.000 2.521
O 4.561 1.514 1.051
O 4.561 -1.514 1.051
O 5.358 0.000 3.637

---

3.
16
Lattice="6.690 0.000 0.000 0.000 6.690 0.000 0.000 0.000 6.690" Properties=species:S:1:pos:R:3 comment="GGA-PBEsol TaAu2Br, optimized geometry" sg=Fm-3m polymorph_energy_ev_per_fu=2.87 pbc="T T T"
Ta 0.000 0.000 0.000
Ta 0.000 3.345 3.345
Ta 3.345 0.000 3.345
Ta 3.345 3.345 0.000
Au 1.672 1.672 1.672
Au 1.672 1.672 5.017
Au 1.672 5.017 1.672
Au 1.672 5.017 5.017
Au 5.017 1.672 1.672
Au 5.017 1.672 5.017
Au 5.017 5.017 1.672
Au 5.017 5.017 5.017
Br 0.000 0.000 3.345
Br 0.000 3.345 0.000
Br 3.345 0.000 0.000
Br 3.345 3.345 3.345